1.
A relaxed BaThNpN3 crystal, computed with GGA-PBE.

a b c (Å): 3.7956 8.0456 8.7225
angles (deg): 100.75 90.00 90.00
Closest atoms and distances in Å follow each position.
Sites, in units of the cell vectors:
N (0.2500, 0.7931, 0.4301)  3 Np 2.25-2.30, 1 Th 2.48
N (0.2500, 0.5675, 0.8835)  3 Th 2.35-2.48
Th (0.2500, 0.6342, 0.1572)  6 N 2.35-2.59
N (0.7500, 0.4325, 0.1165)  3 Th 2.35-2.48
N (0.7500, 0.8562, 0.1701)  1 Np 2.13
N (0.7500, 0.2069, 0.5699)  3 Np 2.25-2.30, 1 Th 2.48
Np (0.7500, 0.9405, 0.4169)  4 N 2.13-2.30
N (0.2500, 0.1438, 0.8299)  1 Np 2.13
Ba (0.7500, 0.8202, 0.8318)  3 N 2.88-2.91
Ba (0.2500, 0.1798, 0.1682)  3 N 2.88-2.91
Th (0.7500, 0.3658, 0.8428)  6 N 2.35-2.59
Np (0.2500, 0.0595, 0.5831)  4 N 2.13-2.30

Formation energy from raw total energies: -0.946 eV per atom
Calculated density: 8.23 g/cm3
Raw total energy: -8.8228 eV/atom

2.
A relaxed BaThNpN4 crystal, computed with GGA-PBE.

a b c (Å): 4.2417 4.2417 7.2339
angles (deg): 107.05 107.05 90.00
Closest atoms and distances in Å follow each position.
Sites, in units of the cell vectors:
N (0.9829, 0.4829, 0.9657)  2 Np 2.14
Th (0.3547, 0.3547, 0.7094)  1 N 2.27
N (0.4829, 0.9829, 0.9657)  2 Np 2.14
Ba (0.6503, 0.6503, 0.3006)  1 N 2.55
Np (0.0027, 0.0027, 0.0054)  5 N 2.08-2.14
N (0.8444, 0.8444, 0.6887)  1 Np 2.08
N (0.1822, 0.1822, 0.3644)  1 Th 2.27, 1 Np 2.36

Formation energy from raw total energies: -1.081 eV per atom
Calculated density: 9.29 g/cm3
Raw total energy: -9.0213 eV/atom

3.
A relaxed Ba2NpUN4 crystal, computed with GGA-PBE.

a b c (Å): 3.5814 6.2381 6.7280
angles (deg): 108.38 90.00 90.00
Closest atoms and distances in Å follow each position.
Sites, in units of the cell vectors:
Np (0.0000, 0.0000, 0.0000)  6 N 2.33-2.40
N (0.5000, 0.7722, 0.8375)  1 U 2.29, 2 Np 2.33
U (0.5000, 0.5000, 0.0000)  6 N 2.29
Ba (0.5000, 0.0000, 0.5000)  6 N 2.99-3.03
Ba (0.0000, 0.5000, 0.5000)  6 N 2.94-2.97
N (0.0000, 0.7106, 0.1660)  2 U 2.29, 1 Np 2.40
N (0.5000, 0.2278, 0.1625)  1 U 2.29, 2 Np 2.33
N (0.0000, 0.2894, 0.8340)  2 U 2.29, 1 Np 2.40

Formation energy from raw total energies: -0.991 eV per atom
Calculated density: 9.38 g/cm3
Raw total energy: -8.6625 eV/atom

4.
A relaxed BaNpVN3 crystal, computed with GGA-PBE.

a b c (Å): 3.8012 6.9177 7.5674
angles (deg): 104.32 90.00 105.95
Closest atoms and distances in Å follow each position.
Sites, in units of the cell vectors:
N (0.1723, 0.3445, 0.3844)  1 V 2.24, 3 Np 2.26-2.41
Np (0.3468, 0.6936, 0.4318)  6 N 2.26-2.42
Np (0.6532, 0.3064, 0.5682)  6 N 2.26-2.42
N (0.8277, 0.6555, 0.6156)  1 V 2.24, 3 Np 2.26-2.41
V (0.9983, 0.9966, 0.3169)  3 N 1.90-1.91
N (0.4928, 0.9855, 0.6988)  2 V 1.91
Ba (0.3610, 0.7220, 0.9307)  7 N 2.78-3.05
N (0.1497, 0.2994, 0.7603)  1 V 1.90
N (0.5072, 0.0145, 0.3012)  2 V 1.91
N (0.8503, 0.7006, 0.2397)  1 V 1.90
V (0.0017, 0.0034, 0.6831)  3 N 1.90-1.91
Ba (0.6390, 0.2780, 0.0693)  7 N 2.78-3.05

Formation energy from raw total energies: -0.920 eV per atom
Calculated density: 8.39 g/cm3
Raw total energy: -9.0801 eV/atom